# 1
Density functional theory data (PBE-GGA) for crystalline BaLiEuAl at its relaxed geometry.

The calculation puts the total magnetic moment at 1.786 μB per atom. The volume comes out at 33.4 A^3/atom. The value obtained for the formation energy is -30 meV/atom. For the density of states at the Fermi level, the calculation gives 2.924 states/eV per atom.

The structure belongs to space group F-43m (No. 216); the cell edges are 8.1135, 8.1135 and 8.1135 Å and the angles 90.00°, 90.00° and 90.00°. The distinct sites, in fractional coordinates, are Ba at (0.0000, 0.0000, 0.0000), Li at (0.2500, 0.2500, 0.2500), Eu at (0.0000, 0.0000, 0.5000) and Al at (0.2500, 0.2500, 0.7500).



# 2
Density functional theory data (PBE-GGA) for crystalline BaEuMgAl at its relaxed geometry.

The calculation puts the total magnetic moment at 1.763 μB per atom. The volume comes out at 33.6 A^3/atom. The value obtained for the formation energy is -67 meV/atom. For the density of states at the Fermi level, the calculation gives 2.980 states/eV per atom.

The structure belongs to space group F-43m (No. 216); the cell edges are 8.1325, 8.1325 and 8.1325 Å and the angles 90.00°, 90.00° and 90.00°. The distinct sites, in fractional coordinates, are Ba at (0.0000, 0.0000, 0.0000), Eu at (0.0000, 0.0000, 0.5000), Mg at (0.2500, 0.2500, 0.2500) and Al at (0.2500, 0.2500, 0.7500).